Compound: CsIOF2
Source: Alexandria
Functional: GGA-PBE
Structure: optimized geometry

* total magnetic moment: 0.00 μB/atom
* formation energy (no corrections): -1323 meV per atom

Unit cell a=5.1091 b=5.1091 c=4.0913 alpha=90.00 beta=90.00 gamma=90.00
Last column: nearest neighbours and their distance in Å.
Space group P4/mmm (No. 123)
Unique sites:
Cs1 0.0000 0.0000 0.0000 [1 per cell]  8 F 3.27, 4 O 3.61
I1 0.5000 0.5000 0.5000 [1 per cell]  2 O 2.05
O1 0.5000 0.5000 0.0000 [1 per cell]  2 I 2.05
F1 0.0000 0.5000 0.5000 [2 per cell]  2 I 2.55

=====

Compound: Cs2IOF6
Source: Alexandria
Functional: GGA-PBE
Structure: optimized geometry

* total magnetic moment: 0.10 μB/atom
* formation energy (no corrections): -1541 meV per atom

Unit cell a=6.7358 b=6.7358 c=9.8777 alpha=90.00 beta=90.00 gamma=90.00
Last column: nearest neighbours and their distance in Å.
Space group I4/mmm (No. 139)
Unique sites:
Cs1 0.0000 0.5000 0.2500 [4 per cell]  12 F 3.39-3.44
I1 0.0000 0.0000 0.0000 [2 per cell]  6 F 2.05-2.09
O1 0.0000 0.0000 0.5000 [2 per cell]  6 F 2.68-2.89
F1 0.0000 0.0000 0.2074 [4 per cell]  1 I 2.05
F2 0.2190 0.2190 0.0000 [8 per cell]  1 I 2.09

=====

Compound: Cs2IO4F2
Source: Alexandria
Functional: GGA-PBE
Structure: optimized geometry

* total magnetic moment: 0.11 μB/atom
* formation energy (no corrections): -1222 meV per atom

Unit cell a=11.2055 b=6.3584 c=5.3187 alpha=90.00 beta=92.65 gamma=90.00
Last column: nearest neighbours and their distance in Å.
Space group C2/m (No. 12)
Unique sites:
Cs1 0.1618 0.0000 0.1942 [4 per cell]  4 F 3.23-3.45, 8 O 3.28-3.45
I1 0.0000 0.5000 0.5000 [2 per cell]  4 O 1.84, 2 F 2.00
O1 0.0715 0.2933 0.6974 [8 per cell]  1 I 1.84
F1 0.1431 0.5000 0.2896 [4 per cell]  1 I 2.00

=====

Compound: Cs2IO2F4
Source: Alexandria
Functional: GGA-PBE
Structure: optimized geometry

* total magnetic moment: 0.11 μB/atom
* formation energy (no corrections): -1674 meV per atom

Unit cell a=11.1912 b=6.4974 c=5.2490 alpha=90.00 beta=91.90 gamma=90.00
Last column: nearest neighbours and their distance in Å.
Space group C2/m (No. 12)
Unique sites:
Cs1 0.1720 0.0000 0.3037 [4 per cell]  8 F 3.23-3.42, 4 O 3.29-3.39
I1 0.0000 0.5000 0.0000 [2 per cell]  2 O 1.87, 4 F 2.07
O1 0.1432 0.5000 0.1947 [4 per cell]  1 I 1.87
F1 0.0698 0.2668 0.7799 [8 per cell]  1 I 2.07

=====

- What is the formation energy (no corrections) in the third record?
  -1222 meV per atom